# YPtBr2 GGA-PBE relaxed
# energy above the lowest structure with this stoichiometry	648	meV/atom
# uncorrected energy	-4.28	eV per atom
# formation energy without anion corrections	-316.9	meV per atom
data_YPtBr2
_cell_length_a 3.5590
_cell_length_b 3.5590
_cell_length_c 27.6452
_cell_angle_alpha 90.00
_cell_angle_beta 90.00
_cell_angle_gamma 120.00
_space_group_name_H-M_alt 'R -3 m'
_space_group_IT_number 166
_space_group_name_Hall '-R 3 2"'
loop_
_atom_site_label
_atom_site_type_symbol
_atom_site_fract_x
_atom_site_fract_y
_atom_site_fract_z
_atom_site_occupancy
Y1 Y 0.0000 0.0000 0.0000 1
Pt1 Pt 0.0000 0.0000 0.5000 1
Br1 Br 0.0000 0.0000 0.2625 1

# Y2PtBr2 GGA-PBE relaxed
# uncorrected energy	-5.96	eV per atom
# formation energy without anion corrections	-1501.6	meV per atom
data_Y2PtBr2
_cell_length_a 4.0081
_cell_length_b 4.0081
_cell_length_c 32.5969
_cell_angle_alpha 90.00
_cell_angle_beta 90.00
_cell_angle_gamma 120.00
_space_group_name_H-M_alt 'R -3 m'
_space_group_IT_number 166
_space_group_name_Hall '-R 3 2"'
loop_
_atom_site_label
_atom_site_type_symbol
_atom_site_fract_x
_atom_site_fract_y
_atom_site_fract_z
_atom_site_occupancy
Y1 Y 0.0000 0.0000 0.1161 1
Pt1 Pt 0.0000 0.0000 0.5000 1
Br1 Br 0.0000 0.0000 0.2757 1

# YZnPtBr2 GGA-PBE relaxed
# uncorrected energy	-3.43	eV per atom
# formation energy without anion corrections	-7.1	meV per atom
data_YZnPtBr2
_cell_length_a 5.2061
_cell_length_b 5.2061
_cell_length_c 4.8799
_cell_angle_alpha 90.00
_cell_angle_beta 90.00
_cell_angle_gamma 90.00
_space_group_name_H-M_alt 'P 4/m m m'
_space_group_IT_number 123
_space_group_name_Hall '-P 4 2'
loop_
_atom_site_label
_atom_site_type_symbol
_atom_site_fract_x
_atom_site_fract_y
_atom_site_fract_z
_atom_site_occupancy
Y1 Y 0.0000 0.0000 0.0000 1
Zn1 Zn 0.5000 0.5000 0.0000 1
Pt1 Pt 0.5000 0.5000 0.5000 1
Br1 Br 0.0000 0.5000 0.5000 1

- Which formula does entry 1 have?
  YPtBr2

- Which of these has the highest formation energy without anion corrections?
  YZnPtBr2

- Which of these has the highest uncorrected energy?
  YZnPtBr2